1.
# GGA-PBEsol BaMg2Au, relaxed
data_BaMg2Au
_cell_length_a 7.335
_cell_length_b 7.335
_cell_length_c 7.335
_cell_angle_alpha 90.00
_cell_angle_beta 90.00
_cell_angle_gamma 90.00
_symmetry_space_group_name_H-M 'F m -3 m'
_symmetry_Int_Tables_number 225
_symmetry_space_group_name_Hall '-F 4 2 3'
loop_
_atom_site_label
_atom_site_type_symbol
_atom_site_fract_x
_atom_site_fract_y
_atom_site_fract_z
_atom_site_occupancy
Ba1 Ba 0.000 0.000 0.000 1
Mg1 Mg 0.250 0.250 0.250 1
Au1 Au 0.000 0.000 0.500 1
# VASP energy = -2.519 eV per atom
# Magnetic moment = 0.0 μB per cell


2.
# GGA-PBEsol BaMg2Au2, relaxed
data_BaMg2Au2
_cell_length_a 4.438
_cell_length_b 4.438
_cell_length_c 12.486
_cell_angle_alpha 90.00
_cell_angle_beta 90.00
_cell_angle_gamma 90.00
_symmetry_space_group_name_H-M 'I 4/m m m'
_symmetry_Int_Tables_number 139
_symmetry_space_group_name_Hall '-I 4 2'
loop_
_atom_site_label
_atom_site_type_symbol
_atom_site_fract_x
_atom_site_fract_y
_atom_site_fract_z
_atom_site_occupancy
Ba1 Ba 0.000 0.000 0.000 1
Mg1 Mg 0.000 0.500 0.250 1
Au1 Au 0.000 0.000 0.383 1
# VASP energy = -3.273 eV per atom
# Magnetic moment = 0.0 μB per cell


3.
# GGA-PBEsol BaMgAu2, relaxed
data_BaMgAu2
_cell_length_a 3.597
_cell_length_b 3.597
_cell_length_c 7.323
_cell_angle_alpha 90.00
_cell_angle_beta 90.00
_cell_angle_gamma 90.00
_symmetry_space_group_name_H-M 'P 4/m m m'
_symmetry_Int_Tables_number 123
_symmetry_space_group_name_Hall '-P 4 2'
loop_
_atom_site_label
_atom_site_type_symbol
_atom_site_fract_x
_atom_site_fract_y
_atom_site_fract_z
_atom_site_occupancy
Ba1 Ba 0.000 0.000 0.000 1
Mg1 Mg 0.000 0.000 0.500 1
Au1 Au 0.500 0.500 0.308 1
# VASP energy = -3.460 eV per atom
# Magnetic moment = 0.0 μB per cell


4.
# GGA-PBEsol BaMg2Au, relaxed
data_BaMg2Au
_cell_length_a 4.7970
_cell_length_b 4.7970
_cell_length_c 17.5378
_cell_angle_alpha 90.00
_cell_angle_beta 90.00
_cell_angle_gamma 120.00
_symmetry_space_group_name_H-M 'R 3 m'
_symmetry_Int_Tables_number 160
_symmetry_space_group_name_Hall 'R 3 -2"'
loop_
_atom_site_label
_atom_site_type_symbol
_atom_site_fract_x
_atom_site_fract_y
_atom_site_fract_z
_atom_site_occupancy
Ba1 Ba 0.0000 0.0000 0.0000 1
Mg1 Mg 0.0000 0.0000 0.1962 1
Mg2 Mg 0.0000 0.0000 0.4740 1
Au1 Au 0.0000 0.0000 0.8110 1
# VASP energy = -2.742 eV per atom
# Magnetic moment = 0.0 μB per cell


5.
# GGA-PBEsol BaMgAu2, relaxed
data_BaMgAu2
_cell_length_a 4.426
_cell_length_b 4.426
_cell_length_c 10.172
_cell_angle_alpha 90.00
_cell_angle_beta 90.00
_cell_angle_gamma 90.00
_symmetry_space_group_name_H-M 'I -4 m 2'
_symmetry_Int_Tables_number 119
_symmetry_space_group_name_Hall 'I -4 -2'
loop_
_atom_site_label
_atom_site_type_symbol
_atom_site_fract_x
_atom_site_fract_y
_atom_site_fract_z
_atom_site_occupancy
Ba1 Ba 0.000 0.000 0.000 1
Mg1 Mg 0.000 0.500 0.250 1
Au1 Au 0.000 0.000 0.500 1
Au2 Au 0.000 0.500 0.750 1
# VASP energy = -3.203 eV per atom
# Magnetic moment = 0.0 μB per cell


6.
# GGA-PBEsol BaMg2Au, relaxed
data_BaMg2Au
_cell_length_a 3.509
_cell_length_b 5.690
_cell_length_c 10.943
_cell_angle_alpha 90.00
_cell_angle_beta 90.00
_cell_angle_gamma 90.00
_symmetry_space_group_name_H-M 'I m m m'
_symmetry_Int_Tables_number 71
_symmetry_space_group_name_Hall '-I 2 2'
loop_
_atom_site_label
_atom_site_type_symbol
_atom_site_fract_x
_atom_site_fract_y
_atom_site_fract_z
_atom_site_occupancy
Ba1 Ba 0.000 0.000 0.000 1
Mg1 Mg 0.000 0.500 0.199 1
Au1 Au 0.000 0.000 0.500 1
# VASP energy = -2.641 eV per atom
# Magnetic moment = 0.0 μB per cell


7.
# GGA-PBEsol BaMnAu2, relaxed
data_BaMnAu2
_cell_length_a 7.254
_cell_length_b 7.254
_cell_length_c 7.254
_cell_angle_alpha 90.00
_cell_angle_beta 90.00
_cell_angle_gamma 90.00
_symmetry_space_group_name_H-M 'F m -3 m'
_symmetry_Int_Tables_number 225
_symmetry_space_group_name_Hall '-F 4 2 3'
loop_
_atom_site_label
_atom_site_type_symbol
_atom_site_fract_x
_atom_site_fract_y
_atom_site_fract_z
_atom_site_occupancy
Ba1 Ba 0.000 0.000 0.000 1
Mn1 Mn 0.000 0.000 0.500 1
Au1 Au 0.250 0.250 0.250 1
# VASP energy = -4.849 eV per atom
# Magnetic moment = 18.6 μB per cell


8.
# GGA-PBEsol BaMnAu2, relaxed
data_BaMnAu2
_cell_length_a 3.444
_cell_length_b 3.444
_cell_length_c 7.409
_cell_angle_alpha 90.00
_cell_angle_beta 90.00
_cell_angle_gamma 90.00
_symmetry_space_group_name_H-M 'P 4/m m m'
_symmetry_Int_Tables_number 123
_symmetry_space_group_name_Hall '-P 4 2'
loop_
_atom_site_label
_atom_site_type_symbol
_atom_site_fract_x
_atom_site_fract_y
_atom_site_fract_z
_atom_site_occupancy
Ba1 Ba 0.000 0.000 0.000 1
Mn1 Mn 0.000 0.000 0.500 1
Au1 Au 0.500 0.500 0.314 1
# VASP energy = -5.056 eV per atom
# Magnetic moment = 4.2 μB per cell


9.
# GGA-PBEsol Ba3MnAu, relaxed
data_Ba3MnAu
_cell_length_a 5.697
_cell_length_b 5.697
_cell_length_c 5.697
_cell_angle_alpha 90.00
_cell_angle_beta 90.00
_cell_angle_gamma 90.00
_symmetry_space_group_name_H-M 'P m -3 m'
_symmetry_Int_Tables_number 221
_symmetry_space_group_name_Hall '-P 4 2 3'
loop_
_atom_site_label
_atom_site_type_symbol
_atom_site_fract_x
_atom_site_fract_y
_atom_site_fract_z
_atom_site_occupancy
Ba1 Ba 0.000 0.000 0.500 1
Mn1 Mn 0.000 0.000 0.000 1
Au1 Au 0.500 0.500 0.500 1
# VASP energy = -3.565 eV per atom
# Magnetic moment = 1.9 μB per cell


10.
# GGA-PBEsol BaMo2Au, relaxed
data_BaMo2Au
_cell_length_a 10.292
_cell_length_b 3.260
_cell_length_c 5.780
_cell_angle_alpha 90.00
_cell_angle_beta 101.08
_cell_angle_gamma 90.00
_symmetry_space_group_name_H-M 'C 1 2/m 1'
_symmetry_Int_Tables_number 12
loop_
_symmetry_equiv_pos_as_xyz
'x,y,z'
'-x,-y,-z'
'-x,y,-z'
'x,-y,z'
'x+1/2,y+1/2,z'
'-x+1/2,-y+1/2,-z'
'-x+1/2,y+1/2,-z'
'x+1/2,-y+1/2,z'
loop_
_atom_site_label
_atom_site_type_symbol
_atom_site_fract_x
_atom_site_fract_y
_atom_site_fract_z
_atom_site_occupancy
Ba1 Ba 0.000 0.000 0.000 1
Mo1 Mo 0.220 0.000 0.625 1
Au1 Au 0.000 0.500 0.500 1
# VASP energy = -6.820 eV per atom
# Magnetic moment = 0.0 μB per cell


11.
# GGA-PBEsol BaMoAu, relaxed
data_BaMoAu
_cell_length_a 6.797
_cell_length_b 6.797
_cell_length_c 6.797
_cell_angle_alpha 90.00
_cell_angle_beta 90.00
_cell_angle_gamma 90.00
_symmetry_space_group_name_H-M 'F -4 3 m'
_symmetry_Int_Tables_number 216
_symmetry_space_group_name_Hall 'F -4 2 3'
loop_
_atom_site_label
_atom_site_type_symbol
_atom_site_fract_x
_atom_site_fract_y
_atom_site_fract_z
_atom_site_occupancy
Ba1 Ba 0.000 0.000 0.000 1
Mo1 Mo 0.250 0.250 0.250 1
Au1 Au 0.000 0.000 0.500 1
# Offset from the most stable computed form = 495.2 meV per atom
# Magnetic moment = 11.3 μB per cell


12.
# GGA-PBEsol BaMoAu, relaxed
data_BaMoAu
_cell_length_a 3.165
_cell_length_b 3.165
_cell_length_c 13.705
_cell_angle_alpha 90.00
_cell_angle_beta 90.00
_cell_angle_gamma 90.00
_symmetry_space_group_name_H-M 'I 4 m m'
_symmetry_Int_Tables_number 107
_symmetry_space_group_name_Hall 'I 4 -2'
loop_
_atom_site_label
_atom_site_type_symbol
_atom_site_fract_x
_atom_site_fract_y
_atom_site_fract_z
_atom_site_occupancy
Ba1 Ba 0.000 0.000 0.000 1
Mo1 Mo 0.000 0.000 0.696 1
Au1 Au 0.000 0.000 0.307 1
# Offset from the most stable computed form = 0.0 meV per atom
# Magnetic moment = 0.0 μB per cell


13.
# GGA-PBEsol BaMoAu2O, relaxed
data_BaMoAu2O
_cell_length_a 5.800
_cell_length_b 5.800
_cell_length_c 4.343
_cell_angle_alpha 90.00
_cell_angle_beta 90.00
_cell_angle_gamma 90.00
_symmetry_space_group_name_H-M 'P 4/m m m'
_symmetry_Int_Tables_number 123
_symmetry_space_group_name_Hall '-P 4 2'
loop_
_atom_site_label
_atom_site_type_symbol
_atom_site_fract_x
_atom_site_fract_y
_atom_site_fract_z
_atom_site_occupancy
Ba1 Ba 0.000 0.000 0.000 1
Mo1 Mo 0.500 0.500 0.500 1
Au1 Au 0.000 0.500 0.000 1
O1 O 0.000 0.000 0.500 1
# ΔE_f (raw) = 1162 meV/atom
# Magnetic moment = 4.6 μB per cell


14.
# GGA-PBEsol BaAuN2, relaxed
data_BaAuN2
_cell_length_a 6.400
_cell_length_b 6.400
_cell_length_c 6.400
_cell_angle_alpha 90.00
_cell_angle_beta 90.00
_cell_angle_gamma 90.00
_symmetry_space_group_name_H-M 'F m -3 m'
_symmetry_Int_Tables_number 225
_symmetry_space_group_name_Hall '-F 4 2 3'
loop_
_atom_site_label
_atom_site_type_symbol
_atom_site_fract_x
_atom_site_fract_y
_atom_site_fract_z
_atom_site_occupancy
Ba1 Ba 0.000 0.000 0.000 1
Au1 Au 0.000 0.000 0.500 1
N1 N 0.250 0.250 0.250 1
# ΔE_f (raw) = 1090 meV/atom
# Magnetic moment = 12.0 μB per cell


15.
# GGA-PBEsol BaAuS2N, relaxed
data_BaAuS2N
_cell_length_a 5.751
_cell_length_b 5.751
_cell_length_c 5.050
_cell_angle_alpha 90.00
_cell_angle_beta 90.00
_cell_angle_gamma 90.00
_symmetry_space_group_name_H-M 'P 4/m m m'
_symmetry_Int_Tables_number 123
_symmetry_space_group_name_Hall '-P 4 2'
loop_
_atom_site_label
_atom_site_type_symbol
_atom_site_fract_x
_atom_site_fract_y
_atom_site_fract_z
_atom_site_occupancy
Ba1 Ba 0.000 0.000 0.000 1
Au1 Au 0.500 0.500 0.500 1
S1 S 0.000 0.500 0.000 1
N1 N 0.000 0.000 0.500 1
# ΔE_f (raw) = 1442 meV/atom
# Magnetic moment = 4.0 μB per cell